{
  "formula": "LiZnMoRu2",
  "functional": "PBE-GGA",
  "state": "optimized geometry",
  "cell": [[-3.8226, 2.0507, 1.3624], [-0.1430, -2.7106, 3.6790], [2.4579, 3.0334, 2.3305]],
  "species": ["Li", "Ru", "Ru", "Zn", "Mo"],
  "frac_coords": [[0.5000, 0.5000, 0.5000], [0.0000, 0.0000, 0.5000], [0.5000, 0.0000, 0.0000], [0.0000, 0.0000, 0.0000], [0.0000, 0.5000, 0.0000]],
  "formation_enthalpy_0k_ev_per_atom": 1.615,
  "mass_density_g_cm3": 6.51
}

{
  "formula": "BaCoAsPd",
  "functional": "PBE-GGA",
  "state": "optimized geometry",
  "cell": [[3.9551, 0.0000, 0.0000], [0.0000, 3.9551, 0.0000], [0.0000, 0.0000, 11.4041]],
  "species": ["As", "As", "Co", "Co", "Pd", "Pd", "Ba", "Ba"],
  "frac_coords": [[0.7500, 0.7500, 0.8916], [0.2500, 0.2500, 0.1084], [0.2500, 0.7500, 0.0000], [0.7500, 0.2500, 0.0000], [0.7500, 0.2500, 0.5000], [0.2500, 0.7500, 0.5000], [0.2500, 0.2500, 0.7250], [0.7500, 0.7500, 0.2750]],
  "formation_enthalpy_0k_ev_per_atom": -0.502,
  "mass_density_g_cm3": 7.03
}

{
  "formula": "Nd3SmRh3",
  "functional": "PBE-GGA",
  "state": "optimized geometry",
  "cell": [[-0.7462, 6.9867, 0.6662], [-3.6147, -1.7874, 5.7926], [6.0863, 0.2320, 3.8027]],
  "species": ["Nd", "Nd", "Nd", "Nd", "Nd", "Nd", "Rh", "Rh", "Rh", "Rh", "Rh", "Rh", "Sm", "Sm"],
  "frac_coords": [[0.8191, 0.1809, 0.5000], [0.2482, 0.7518, 0.0000], [0.3296, 0.3296, 0.6254], [0.6704, 0.6704, 0.3746], [0.1809, 0.8191, 0.5000], [0.7518, 0.2482, 0.0000], [0.4988, 0.9957, 0.7278], [0.9957, 0.4988, 0.7278], [0.0618, 0.0618, 0.8031], [0.5012, 0.0043, 0.2722], [0.0043, 0.5012, 0.2722], [0.9382, 0.9382, 0.1969], [0.7535, 0.7535, 0.8742], [0.2465, 0.2465, 0.1258]],
  "formation_enthalpy_0k_ev_per_atom": -0.558,
  "mass_density_g_cm3": 8.34
}

Question: Number 2 is which compound?
Answer: BaCoAsPd